(1)
Material: Dy4Co2Ru
Method: DFT, PBE-GGA
State: relaxed

POSCAR file:
```
Dy4Co2Ru
1.0
-3.120 -2.767 -0.511
0.510 -2.835 -5.024
2.304 -6.241 2.454
Co Dy Ru
2 4 1
Cartesian
0.617 -6.743 -1.797
-0.924 -5.100 -1.285
-1.573 -7.139 -3.550
0.274 -9.563 -1.703
-0.581 -2.280 -1.379
1.266 -4.704 0.468
0.000 0.000 0.000
```

formation energy from the elements = -0.2062 eV/atom
uncorrected energy = -43.34 eV per cell

(2)
Material: Dy4Co3Ru
Method: DFT, PBE-GGA
State: relaxed

POSCAR file:
```
Dy4Co3Ru
1.0
4.080 0.000 0.000
0.000 3.938 0.000
0.000 0.000 10.250
Co Dy Ru
3 4 1
Cartesian
0.000 1.969 5.695
0.000 0.000 4.609
2.040 0.000 9.546
0.000 0.000 1.498
2.040 0.000 6.609
0.000 1.969 8.748
2.040 1.969 3.668
2.040 1.969 0.627
```

formation energy from the elements = -0.2267 eV/atom
uncorrected energy = -50.82 eV per cell

(3)
Material: Dy3CoRu2
Method: DFT, PBE-GGA
State: relaxed

POSCAR file:
```
Dy3CoRu2
1.0
-1.569 0.851 3.032
-2.907 -3.152 -0.617
6.948 -3.950 2.672
Ru Dy Co
2 3 1
Cartesian
0.380 -0.832 2.475
2.091 -5.419 2.612
-2.238 -1.150 1.207
0.270 -3.440 1.109
2.201 -2.810 3.977
0.000 0.000 0.000
```

formation energy from the elements = -0.1962 eV/atom
uncorrected energy = -40.64 eV per cell

(4)
Material: Dy5CoRu4
Method: DFT, PBE-GGA
State: relaxed

POSCAR file:
```
Dy5CoRu4
1.0
-1.407 -2.648 1.599
1.124 -2.074 -2.446
14.287 -2.399 8.597
Dy Ru Co
5 4 1
Cartesian
12.739 -4.524 7.327
7.002 -3.561 3.875
1.265 -2.597 0.423
9.879 -4.044 5.606
4.124 -3.078 2.143
2.793 -0.469 1.681
8.585 -1.441 5.166
5.702 -0.957 3.431
11.494 -1.930 6.916
0.000 0.000 0.000
```

formation energy from the elements = -0.2927 eV/atom
uncorrected energy = -70.15 eV per cell